This record from the Alexandria database describes a relaxed Fe2TcBiAu crystal. The functional is PBE.

a = 4.632 Å, b = 4.632 Å, c = 5.184 Å
α = 90.00°, β = 90.00°, γ = 90.00°
Space group P4/mmm (No. 123)
Asymmetric unit:
Fe: 0.000 0.500 0.000 [2 per cell]
Tc: 0.000 0.000 0.000 [1 per cell]
Bi: 0.000 0.000 0.500 [1 per cell]
Au: 0.500 0.500 0.500 [1 per cell]

Properties
Fermi-level density of states   6.98 states/eV/cell
Formation energy   115.1 kJ/mol of atoms
M_tot   6.26 μB/f.u.
Calculated volume   22.25 A^3/atom


This record from the Alexandria database describes a relaxed GaBiAu3 crystal. The functional is PBE.

a = 5.442 Å, b = 5.442 Å, c = 5.442 Å
α = 90.00°, β = 90.00°, γ = 90.00°
Space group Pm-3m (No. 221)
Asymmetric unit:
Ga: 0.000 0.000 0.000 [1 per cell]
Bi: 0.500 0.500 0.500 [1 per cell]
Au: 0.000 0.500 0.500 [3 per cell]

Properties
Fermi-level density of states   1.77 states/eV/cell
Formation energy   47.7 kJ/mol of atoms
M_tot   0.00 μB/f.u.
Polymorph energy (0 for the lowest one)   0.5729 eV per atom
Calculated volume   32.23 A^3/atom


This record from the Alexandria database describes a relaxed GaBiAu3 crystal. The functional is PBE.

a = 8.985 Å, b = 6.237 Å, c = 7.715 Å
α = 90.00°, β = 98.15°, γ = 90.00°
Space group P2_1/c (No. 14)
Asymmetric unit:
Ga: 0.075 0.230 0.351 [4 per cell]
Bi: 0.386 0.626 0.814 [4 per cell]
Au: 0.108 0.648 0.432 [4 per cell]
Au: 0.217 0.023 0.621 [4 per cell]
Au: 0.376 0.147 0.959 [4 per cell]

Properties
Fermi-level density of states   4.83 states/eV/cell
Formation energy   -7.5 kJ/mol of atoms
M_tot   0.00 μB/f.u.
Polymorph energy (0 for the lowest one)   0.0000 eV per atom
Calculated volume   21.40 A^3/atom


This record from the Alexandria database describes a relaxed Ga2BiAu9 crystal. The functional is PBE.

a = 9.0293 Å, b = 9.0293 Å, c = 3.2404 Å
α = 90.00°, β = 90.00°, γ = 120.00°
Space group P6/mmm (No. 191)
Asymmetric unit:
Ga: 0.3333 0.6667 0.0000 [2 per cell]
Bi: 0.0000 0.0000 0.0000 [1 per cell]
Au: 0.0000 0.5000 0.0000 [3 per cell]
Au: 0.1835 0.3670 0.5000 [6 per cell]

Properties
Fermi-level density of states   3.82 states/eV/cell
Formation energy   -4.7 kJ/mol of atoms
M_tot   0.00 μB/f.u.
Calculated volume   19.07 A^3/atom


This record from the Alexandria database describes a relaxed Ga3Bi2Au9 crystal. The functional is PBE.

a = 13.885 Å, b = 7.951 Å, c = 11.006 Å
α = 90.00°, β = 114.11°, γ = 90.00°
Space group C2/c (No. 15)
Asymmetric unit:
Ga: 0.086 0.242 0.499 [8 per cell]
Ga: 0.250 0.250 0.000 [4 per cell]
Bi: 0.169 0.073 0.250 [8 per cell]
Au: 0.000 0.360 0.250 [4 per cell]
Au: 0.061 0.087 0.932 [8 per cell]
Au: 0.108 0.310 0.747 [8 per cell]
Au: 0.108 0.414 0.073 [8 per cell]
Au: 0.225 0.416 0.429 [8 per cell]

Properties
Fermi-level density of states   18.44 states/eV/cell
Formation energy   -8.0 kJ/mol of atoms
M_tot   0.00 μB/f.u.
Calculated volume   19.80 A^3/atom


This record from the Alexandria database describes a relaxed GaBiAu3 crystal. The functional is PBE.

a = 4.905 Å, b = 4.905 Å, c = 4.905 Å
α = 90.00°, β = 90.00°, γ = 90.00°
Space group Pm-3m (No. 221)
Asymmetric unit:
Ga: 0.000 0.000 0.000 [1 per cell]
Bi: 0.500 0.500 0.500 [1 per cell]
Au: 0.000 0.000 0.500 [3 per cell]

Properties
Fermi-level density of states   2.05 states/eV/cell
Formation energy   22.7 kJ/mol of atoms
M_tot   0.00 μB/f.u.
Polymorph energy (0 for the lowest one)   0.3131 eV per atom
Calculated volume   23.60 A^3/atom


This record from the Alexandria database describes a relaxed GaBiAu2 crystal. The functional is PBE.

a = 5.307 Å, b = 5.307 Å, c = 3.161 Å
α = 90.00°, β = 90.00°, γ = 90.00°
Space group P4/mmm (No. 123)
Asymmetric unit:
Ga: 0.000 0.000 0.000 [1 per cell]
Bi: 0.500 0.500 0.000 [1 per cell]
Au: 0.000 0.500 0.500 [2 per cell]

Properties
Fermi-level density of states   1.45 states/eV/cell
Formation energy   4.9 kJ/mol of atoms
M_tot   0.00 μB/f.u.
Calculated volume   22.26 A^3/atom


This record from the Alexandria database describes a relaxed GaBiAu crystal. The functional is PBE.

a = 4.412 Å, b = 4.454 Å, c = 9.243 Å
α = 89.09°, β = 88.72°, γ = 61.22°
Space group P1 (No. 1)
Asymmetric unit:
Ga: 0.000 0.000 0.000 [1 per cell]
Ga: 0.351 0.357 0.986 [1 per cell]
Bi: 0.166 0.170 0.698 [1 per cell]
Bi: 0.184 0.189 0.288 [1 per cell]
Au: 0.507 0.512 0.563 [1 per cell]
Au: 0.843 0.847 0.423 [1 per cell]

Properties
Fermi-level density of states   2.20 states/eV/cell
Formation energy   4.6 kJ/mol of atoms
M_tot   0.00 μB/f.u.
Polymorph energy (0 for the lowest one)   0.0845 eV per atom
Calculated volume   26.52 A^3/atom


This record from the Alexandria database describes a relaxed Ga2BiAu2 crystal. The functional is PBE.

a = 4.761 Å, b = 4.761 Å, c = 9.528 Å
α = 90.00°, β = 90.00°, γ = 90.00°
Space group I4/mmm (No. 139)
Asymmetric unit:
Ga: 0.000 0.000 0.129 [4 per cell]
Bi: 0.000 0.000 0.500 [2 per cell]
Au: 0.000 0.500 0.250 [4 per cell]

Properties
Fermi-level density of states   4.00 states/eV/cell
Formation energy   -4.7 kJ/mol of atoms
M_tot   0.00 μB/f.u.
Polymorph energy (0 for the lowest one)   0.0715 eV per atom
Calculated volume   21.60 A^3/atom


This record from the Alexandria database describes a relaxed GaBiAu2 crystal. The functional is PBE.

a = 3.9853 Å, b = 3.9853 Å, c = 20.0845 Å
α = 90.00°, β = 90.00°, γ = 120.00°
Space group R3m (No. 160, hexagonal axes)
Asymmetric unit:
Ga: 0.0000 0.0000 0.0000 [3 per cell]
Bi: 0.0000 0.0000 0.1698 [3 per cell]
Au: 0.0000 0.0000 0.4019 [3 per cell]
Au: 0.0000 0.0000 0.6000 [3 per cell]

Properties
Fermi-level density of states   4.19 states/eV/cell
Formation energy   -4.0 kJ/mol of atoms
M_tot   0.00 μB/f.u.
Calculated volume   23.02 A^3/atom


This record from the Alexandria database describes a relaxed GaBi3Au crystal. The functional is PBE.

a = 11.829 Å, b = 7.134 Å, c = 6.880 Å
α = 90.00°, β = 90.00°, γ = 90.00°
Space group Ima2 (No. 46)
Asymmetric unit:
Ga: 0.250 0.166 0.000 [4 per cell]
Bi: 0.012 0.220 0.283 [8 per cell]
Bi: 0.250 0.624 0.220 [4 per cell]
Au: 0.250 0.013 0.332 [4 per cell]

Properties
Fermi-level density of states   7.13 states/eV/cell
Formation energy   1.0 kJ/mol of atoms
M_tot   0.00 μB/f.u.
Polymorph energy (0 for the lowest one)   0.0000 eV per atom
Calculated volume   29.03 A^3/atom


This record from the Alexandria database describes a relaxed Ga2BiAu2 crystal. The functional is PBE.

a = 4.096 Å, b = 4.096 Å, c = 12.547 Å
α = 90.00°, β = 90.00°, γ = 90.00°
Space group I4/mmm (No. 139)
Asymmetric unit:
Ga: 0.000 0.500 0.250 [4 per cell]
Bi: 0.000 0.000 0.000 [2 per cell]
Au: 0.000 0.000 0.387 [4 per cell]

Properties
Fermi-level density of states   3.70 states/eV/cell
Formation energy   -11.6 kJ/mol of atoms
M_tot   0.00 μB/f.u.
Polymorph energy (0 for the lowest one)   0.0000 eV per atom
Calculated volume   21.05 A^3/atom